[1]
# MgSbMoAs PBE optimized geometry
# crystal system: cubic
# volume: 18.55 Å³/atom
# ΔE to the lowest computed polymorph: 0.000 eV per atom
# magnetization: 0.20 μB per formula unit
data_MgSbMoAs
_chemical_formula_sum 'Mg1 Sb1 Mo1 As1'
_space_group_name_H-M_alt 'P 1'
_space_group_IT_number 1
_cell_length_a 4.717
_cell_length_b 4.717
_cell_length_c 4.717
_cell_angle_alpha 60.00
_cell_angle_beta 60.00
_cell_angle_gamma 60.00
loop_
_space_group_symop_operation_xyz
'x,y,z'
loop_
_atom_site_label
_atom_site_type_symbol
_atom_site_fract_x
_atom_site_fract_y
_atom_site_fract_z
As1 As 0.000 0.000 0.000
Mg1 Mg 0.750 0.750 0.750
Mo1 Mo 0.250 0.250 0.250
Sb1 Sb 0.500 0.500 0.500

=====

[2]
# MgTaMoAs PBE optimized geometry
# crystal system: cubic
# volume: 16.42 Å³/atom
# ΔE to the lowest computed polymorph: 0.000 eV per atom
# magnetization: 0.01 μB per formula unit
data_MgTaMoAs
_chemical_formula_sum 'Mg1 Ta1 Mo1 As1'
_space_group_name_H-M_alt 'P 1'
_space_group_IT_number 1
_cell_length_a 4.529
_cell_length_b 4.529
_cell_length_c 4.529
_cell_angle_alpha 60.00
_cell_angle_beta 60.00
_cell_angle_gamma 60.00
loop_
_space_group_symop_operation_xyz
'x,y,z'
loop_
_atom_site_label
_atom_site_type_symbol
_atom_site_fract_x
_atom_site_fract_y
_atom_site_fract_z
As1 As 0.000 0.000 0.000
Mg1 Mg 0.750 0.750 0.750
Mo1 Mo 0.250 0.250 0.250
Ta1 Ta 0.500 0.500 0.500

=====

[3]
# MgTaMoAs PBE optimized geometry
# crystal system: cubic
# volume: 16.54 Å³/atom
# ΔE to the lowest computed polymorph: 0.244 eV per atom
# magnetization: 0.00 μB per formula unit
data_MgTaMoAs
_chemical_formula_sum 'Mg1 Ta1 Mo1 As1'
_space_group_name_H-M_alt 'P 1'
_space_group_IT_number 1
_cell_length_a 4.540
_cell_length_b 4.540
_cell_length_c 4.540
_cell_angle_alpha 60.00
_cell_angle_beta 60.00
_cell_angle_gamma 60.00
loop_
_space_group_symop_operation_xyz
'x,y,z'
loop_
_atom_site_label
_atom_site_type_symbol
_atom_site_fract_x
_atom_site_fract_y
_atom_site_fract_z
As1 As 0.250 0.250 0.250
Mg1 Mg 0.750 0.750 0.750
Mo1 Mo 0.000 0.000 0.000
Ta1 Ta 0.500 0.500 0.500

=====

[4]
# Na2MgNiAs2 PBE optimized geometry
# crystal system: tetragonal
# volume: 19.77 Å³/atom
# magnetization: 0.04 μB per formula unit
data_Na2MgNiAs2
_chemical_formula_sum 'Na2 Mg1 Ni1 As2'
_space_group_name_H-M_alt 'P 1'
_space_group_IT_number 1
_cell_length_a 4.080
_cell_length_b 4.080
_cell_length_c 7.126
_cell_angle_alpha 90.00
_cell_angle_beta 90.00
_cell_angle_gamma 90.00
loop_
_space_group_symop_operation_xyz
'x,y,z'
loop_
_atom_site_label
_atom_site_type_symbol
_atom_site_fract_x
_atom_site_fract_y
_atom_site_fract_z
As1 As 0.000 0.500 0.218
As2 As 0.500 0.000 0.782
Mg1 Mg 0.000 0.000 0.000
Na1 Na 0.500 0.000 0.355
Na2 Na 0.000 0.500 0.645
Ni1 Ni 0.500 0.500 0.000

=====

no.,VASP energy (eV/atom)
1,-5.13
2,-7.04
3,-6.79
4,-3.58